Record 1
A geometry-optimized LiNi7Ge4 structure, computed with PBE.

It has space group C2/m (No. 12), with a = 10.725 Å, b = 4.187 Å, c = 8.781 Å, α = 90.00°, β = 126.66° and γ = 90.00°. Symmetry generates all atoms from Li at (0.000, 0.000, 0.000), Ni at (0.000, 0.500, 0.000), Ni at (0.083, 0.000, 0.340), Ni at (0.139, 0.500, 0.557), Ni at (0.216, 0.000, 0.883), Ge at (0.081, 0.500, 0.785) and Ge at (0.217, 0.500, 0.326).

The energy of formation from the pure elements comes out at -0.1378 eV per atom. The density of states at the Fermi level is 12.3 states/eV/cell. The total magnetization comes out at 0.0 μB per formula unit. As for the raw total energy: -5.21 eV per atom.

=====

Record 2
A geometry-optimized LiAcY2Te4 structure, computed with PBE.

It has space group Cmcm (No. 63), with a = 4.430 Å, b = 14.738 Å, c = 15.228 Å, α = 90.00°, β = 90.00° and γ = 90.00°. Symmetry generates all atoms from Li at (0.000, 0.145, 0.250), Ac at (0.000, 0.127, 0.750), Y at (0.000, 0.370, 0.561), Te at (0.000, 0.000, 0.000), Te at (0.000, 0.271, 0.118) and Te at (0.000, 0.458, 0.750).

As for the raw formation energy: -1.2983 eV/atom. The density of states at the Fermi level is 22.8 states/eV/cell. The total magnetization comes out at 0.0 μB per formula unit. As for the raw total energy: -5.24 eV per atom.

=====

Record 3
A geometry-optimized CrIn2Pt structure, computed with PBE.

It has space group Pmm2 (No. 25), with a = 3.557 Å, b = 3.648 Å, c = 5.937 Å, α = 90.00°, β = 90.00° and γ = 90.00°. Symmetry generates all atoms from Cr at (0.000, 0.000, 0.000), In at (0.000, 0.000, 0.466), In at (0.500, 0.500, 0.770) and Pt at (0.500, 0.500, 0.245).

The energy of formation from the pure elements comes out at 0.0340 eV per atom. The density of states at the Fermi level is 2.7 states/eV/cell. The total magnetization comes out at 4.0 μB per formula unit. As for the raw total energy: -5.25 eV per atom.

=====

Record 4
A geometry-optimized In2AsBr structure, computed with PBE.

It has space group R3m (No. 160, hexagonal axes), with a = 4.3505 Å, b = 4.3505 Å, c = 25.5175 Å, α = 90.00°, β = 90.00° and γ = 120.00°. Symmetry generates all atoms from In at (0.0000, 0.0000, 0.0000), In at (0.0000, 0.0000, 0.2219), As at (0.0000, 0.0000, 0.6947) and Br at (0.0000, 0.0000, 0.4896).

As for the raw formation energy: -0.2120 eV/atom. The total magnetization comes out at 0.0 μB per formula unit. For the offset from the most stable computed form, the calculation gives 72 meV/atom. As for the raw total energy: -3.16 eV per atom.

=====

Record 5
A geometry-optimized HfTeHPb2 structure, computed with PBE.

It has space group P4/mmm (No. 123), with a = 5.982 Å, b = 5.982 Å, c = 3.663 Å, α = 90.00°, β = 90.00° and γ = 90.00°. Symmetry generates all atoms from Hf at (0.000, 0.000, 0.000), Te at (0.500, 0.500, 0.500), H at (0.000, 0.000, 0.500) and Pb at (0.000, 0.500, 0.000).

The density of states at the Fermi level is 3.1 states/eV/cell. The total magnetization comes out at 0.0 μB per formula unit. As for the raw total energy: -4.57 eV per atom.

=====

Record 6
A geometry-optimized CuNi2W structure, computed with PBE.

It has space group Pmmm (No. 47), with a = 2.704 Å, b = 4.254 Å, c = 4.405 Å, α = 90.00°, β = 90.00° and γ = 90.00°. Symmetry generates all atoms from Cu at (0.000, 0.000, 0.000), Ni at (0.000, 0.500, 0.500), Ni at (0.500, 0.500, 0.000) and W at (0.500, 0.000, 0.500).

The energy of formation from the pure elements comes out at 0.3044 eV per atom. The density of states at the Fermi level is 5.4 states/eV/cell. The total magnetization comes out at 0.0 μB per formula unit. For the offset from the most stable computed form, the calculation gives 292 meV/atom. As for the raw total energy: -6.85 eV per atom.

=====

Record 7
A geometry-optimized Tb7CdIr4 structure, computed with PBE.

It has space group C2/m (No. 12), with a = 13.649 Å, b = 5.416 Å, c = 9.830 Å, α = 90.00°, β = 125.57° and γ = 90.00°. Symmetry generates all atoms from Tb at (0.000, 0.000, 0.000), Tb at (0.077, 0.500, 0.366), Tb at (0.174, 0.000, 0.621), Tb at (0.212, 0.500, 0.875), Cd at (0.000, 0.500, 0.000), Ir at (0.068, 0.000, 0.781) and Ir at (0.203, 0.000, 0.339).

The energy of formation from the pure elements comes out at -0.4711 eV per atom. The density of states at the Fermi level is 14.3 states/eV/cell. The total magnetization comes out at 0.0 μB per formula unit. As for the raw total energy: -6.20 eV per atom.

=====

Record 8
A geometry-optimized RbCu2Cl3 structure, computed with PBE.

It has space group C2/m (No. 12), with a = 22.006 Å, b = 4.041 Å, c = 7.012 Å, α = 90.00°, β = 96.46° and γ = 90.00°. Symmetry generates all atoms from Rb at (0.125, 0.000, 0.464), Cu at (0.056, 0.500, 0.972), Cu at (0.216, 0.000, 0.027), Cl at (0.025, 0.500, 0.277), Cl at (0.112, 0.000, 0.933) and Cl at (0.230, 0.500, 0.241).

As for the raw formation energy: -0.8812 eV/atom. The total magnetization comes out at 0.0 μB per formula unit. As for the raw total energy: -3.33 eV per atom.

=====

Record 9
A geometry-optimized CrRhC structure, computed with PBE.

It has space group Cmmm (No. 65), with a = 5.561 Å, b = 8.329 Å, c = 2.811 Å, α = 90.00°, β = 90.00° and γ = 90.00°. Symmetry generates all atoms from Cr at (0.000, 0.228, 0.000), Rh at (0.249, 0.000, 0.500) and C at (0.250, 0.250, 0.500).

The energy of formation from the pure elements comes out at 0.1192 eV per atom. The density of states at the Fermi level is 10.2 states/eV/cell. The total magnetization comes out at 0.2 μB per formula unit. For the offset from the most stable computed form, the calculation gives 54 meV/atom. As for the raw total energy: -8.61 eV per atom.

=====

Record 10
A geometry-optimized NdDy6Ho3Tm2 structure, computed with PBE.

It has space group C2/m (No. 12), with a = 6.128 Å, b = 10.603 Å, c = 11.734 Å, α = 90.00°, β = 99.96° and γ = 90.00°. Symmetry generates all atoms from Nd at (0.000, 0.000, 0.000), Dy at (0.249, 0.333, 0.749), Dy at (0.250, 0.000, 0.749), Ho at (0.000, 0.167, 0.500), Ho at (0.000, 0.500, 0.500) and Tm at (0.000, 0.333, 0.000).

The energy of formation from the pure elements comes out at 0.0184 eV per atom. The density of states at the Fermi level is 30.6 states/eV/cell. The total magnetization comes out at 0.0 μB per formula unit. As for the raw total energy: -4.57 eV per atom.

=====

Record 11
A geometry-optimized YH3I structure, computed with PBE.

It has space group Pm-3m (No. 221), with a = 4.234 Å, b = 4.234 Å, c = 4.234 Å, α = 90.00°, β = 90.00° and γ = 90.00°. Symmetry generates all atoms from Y at (0.000, 0.000, 0.000), H at (0.000, 0.500, 0.500) and I at (0.500, 0.500, 0.500).

The density of states at the Fermi level is 2.1 states/eV/cell. The total magnetization comes out at 0.0 μB per formula unit. For the offset from the most stable computed form, the calculation gives 982 meV/atom. As for the raw total energy: -2.75 eV per atom.

=====

Record 12
A geometry-optimized ReTe3Pd structure, computed with PBE.

It has space group R-3 (No. 148, hexagonal axes), with a = 6.9321 Å, b = 6.9321 Å, c = 17.9072 Å, α = 90.00°, β = 90.00° and γ = 120.00°. Symmetry generates all atoms from Re at (0.0000, 0.0000, 0.1479), Te at (0.0115, 0.3097, 0.7517) and Pd at (0.0000, 0.0000, 0.3560).

As for the raw formation energy: 0.0371 eV/atom. The density of states at the Fermi level is 24.1 states/eV/cell. The total magnetization comes out at 0.0 μB per formula unit. For the offset from the most stable computed form, the calculation gives 0 meV/atom. As for the raw total energy: -5.38 eV per atom.